Record 1
DFT (PBEsol) results for a geometry-optimized SrBr3 structure.

E_form (uncorrected) ... -1577 meV per atom
Electronic total energy ... -3.44 eV per atom

Unit cell a=4.467 b=5.696 c=10.235 alpha=90.00 beta=90.00 gamma=90.00
Fractional positions:
Sr  0.000  0.000  0.666
Br  0.000  0.248  0.172
Br  0.500  0.000  0.456
Br  0.000  0.500  0.544
Br  0.500  0.748  0.828
Br  0.500  0.252  0.828
Sr  0.500  0.500  0.334
Br  0.000  0.752  0.172

=====

Record 2
DFT (PBEsol) results for a geometry-optimized SrBr3 structure.

E_form (uncorrected) ... -1262 meV per atom
Electronic total energy ... -3.12 eV per atom

Unit cell a=5.403 b=5.403 c=5.403 alpha=60.00 beta=60.00 gamma=60.00
Last column: magnetic moment on the atom in μB.
Fractional positions:
Br  0.500  0.500  0.500  0.45
Br  0.250  0.250  0.250  0.17
Br  0.750  0.750  0.750  0.17
Sr  0.000  0.000  0.000  0.00

=====

Q: Which of these has the lowest E_form (uncorrected)?
A: number 1